Computed, not measured: a relaxed structure of SrTmTlZn at the GGA-PBE level of DFT.

Values from the calculation:
- final energy (eV/atom) = -2.69
- calculated formation energy (eV/atom) = -0.24
- space-group type = F-43m (216)

Cell: 5.402 5.402 5.402 Å, 60.00 60.00 60.00°
Sites, in units of the cell vectors:
Sr 0.250 0.250 0.250
Zn 0.500 0.500 0.500
Tl 0.000 0.000 0.000
Tm 0.750 0.750 0.750